# 1
Below is a relaxed structure of La2BiF, with properties calculated at the PBE level.

abc: 5.391 5.391 5.391
angles: 60.00 60.00 60.00
Atoms (fractional coordinates):
1 F 0.000 0.000 0.000
2 La 0.250 0.250 0.250
3 La 0.750 0.750 0.750
4 Bi 0.500 0.500 0.500

Calculated values
**SG**: Fm-3m (225)
**Size of the total moment**: 0.000 μB/atom


# 2
Below is a relaxed structure of LaBiF2, with properties calculated at the PBE level.

abc: 5.549 5.549 8.139
angles: 70.07 70.07 90.00
Atoms (fractional coordinates):
1 Bi 0.000 0.000 0.000
2 La 0.250 0.750 0.500
3 Bi 0.750 0.250 0.500
4 F 0.399 0.125 0.250
5 F 0.351 0.625 0.250
6 F 0.375 0.601 0.750
7 F 0.875 0.649 0.750
8 La 0.500 0.500 0.000

Calculated values
**SG**: I-42d (122)
**Size of the total moment**: 0.000 μB/atom


# 3
Below is a relaxed structure of LaBi2F, with properties calculated at the PBE level.

abc: 5.403 5.403 5.403
angles: 60.00 60.00 60.00
Atoms (fractional coordinates):
1 Bi 0.750 0.750 0.750
2 La 0.500 0.500 0.500
3 F 0.000 0.000 0.000
4 Bi 0.250 0.250 0.250

Calculated values
**SG**: Fm-3m (225)
**Size of the total moment**: 0.000 μB/atom


# 4
Below is a relaxed structure of LaBiF3, with properties calculated at the PBE level.

abc: 4.804 4.804 4.804
angles: 90.00 90.00 90.00
Each line ends with the local moment (μB).
Atoms (fractional coordinates):
1 Bi 0.000 0.000 0.000  -0.01
2 F 0.500 0.000 0.000  0.01
3 F 0.000 0.000 0.500  0.01
4 F 0.000 0.500 0.000  0.01
5 La 0.500 0.500 0.500  0.29

Calculated values
**SG**: Pm-3m (221)
**Size of the total moment**: 0.134 μB/atom


# 5
Below is a relaxed structure of La2BiF2, with properties calculated at the PBE level.

abc: 4.185 4.185 7.271
angles: 73.27 73.27 90.00
Each line ends with the local moment (μB).
Atoms (fractional coordinates):
1 F 0.750 0.250 0.500  0.01
2 Bi 0.000 0.000 0.000  -0.03
3 F 0.250 0.750 0.500  0.01
4 La 0.635 0.635 0.730  0.27
5 La 0.365 0.365 0.270  0.27

Calculated values
**SG**: I4/mmm (139)
**Size of the total moment**: 0.194 μB/atom


# 6
Below is a relaxed structure of LaBiF2, with properties calculated at the PBE level.

abc: 4.827 4.827 4.827
angles: 60.00 60.00 60.00
Atoms (fractional coordinates):
1 La 0.000 0.000 0.000
2 F 0.250 0.250 0.250
3 Bi 0.500 0.500 0.500
4 F 0.750 0.750 0.750

Calculated values
**SG**: Fm-3m (225)
**Size of the total moment**: 0.000 μB/atom


# 7
Below is a relaxed structure of LaBiF2, with properties calculated at the PBE level.

abc: 7.022 7.022 7.022
angles: 33.43 33.43 33.43
Atoms (fractional coordinates):
1 F 0.804 0.804 0.804
2 F 0.196 0.196 0.196
3 La 0.500 0.500 0.500
4 Bi 0.000 0.000 0.000

Calculated values
**SG**: R-3m (166)
**Size of the total moment**: 0.000 μB/atom


# 8
Below is a relaxed structure of La2BiF, with properties calculated at the PBE level.

abc: 7.803 7.803 6.707
angles: 54.43 54.43 90.00
Each line ends with the local moment (μB).
Atoms (fractional coordinates):
1 La 0.875 0.789 0.750  0.41
2 Bi 0.000 0.000 0.000  -0.01
3 F 0.250 0.750 0.500  0.03
4 La 0.211 0.625 0.250  0.41
5 Bi 0.750 0.250 0.500  -0.01
6 La 0.539 0.125 0.250  0.42
7 F 0.500 0.500 0.000  0.03
8 La 0.375 0.461 0.750  0.42

Calculated values
**SG**: I-42d (122)
**Size of the total moment**: 0.489 μB/atom


Number 1: ΔE_f (raw) -1406 meV/atom, mass density 7582 kg/m³. Number 2: ΔE_f (raw) -2412 meV/atom, mass density 5836 kg/m³. Number 3: ΔE_f (raw) -743 meV/atom, mass density 8574 kg/m³. Number 4: ΔE_f (raw) -1668 meV/atom, mass density 6066 kg/m³. Number 5: ΔE_f (raw) -2579 meV/atom, mass density 7493 kg/m³. Number 6: ΔE_f (raw) -1886 meV/atom, mass density 8057 kg/m³. Number 7: ΔE_f (raw) -2671 meV/atom, mass density 6849 kg/m³. Number 8: ΔE_f (raw) -1695 meV/atom, mass density 7237 kg/m³.